Ba2NiPdAu PBE optimized geometry; symmetry = P4/mmm; energy of formation from the pure elements = -0.160 eV/atom; uncorrected energy = -18.9 eV per cell
1.0
5.887 0.000 0.000
0.000 5.887 0.000
0.000 0.000 4.644
Ba Ni Pd Au
2 1 1 1
Direct
0.000 0.500 0.000
0.500 0.000 0.000
0.000 0.000 0.000
0.000 0.000 0.500
0.500 0.500 0.500



Ba6NiPdAu2 PBE optimized geometry; symmetry = R3; energy of formation from the pure elements = -0.373 eV/atom; uncorrected energy = -32.8 eV per cell
1.0
4.042 2.333 7.521
-4.042 2.333 7.521
0.000 -4.667 7.521
Ba Ni Pd Au
6 1 1 2
Direct
0.000 0.354 0.645
0.152 0.860 0.493
0.354 0.645 0.000
0.493 0.152 0.860
0.645 0.000 0.354
0.860 0.493 0.152
0.253 0.253 0.253
0.753 0.753 0.753
0.075 0.075 0.075
0.576 0.576 0.576



Magnetization readings, ordered: 0.01 0.00 μB/atom